Entry 1:
A plane-wave DFT calculation with PBE was carried out for In12Sn3Ge5 after structural relaxation.

```
In12Sn3Ge5
1.0
-8.436 8.436 8.436
8.436 -8.436 8.436
8.436 8.436 -8.436
In Sn Ge
48 12 20
Direct
0.049 0.222 0.127 In
0.049 0.327 0.922 In
0.078 0.627 0.405 In
0.078 0.951 0.673 In
0.095 0.722 0.673 In
0.095 0.873 0.422 In
0.127 0.049 0.222 In
0.127 0.578 0.905 In
0.173 0.222 0.595 In
0.173 0.451 0.578 In
0.222 0.127 0.049 In
0.222 0.595 0.173 In
0.278 0.327 0.905 In
0.278 0.451 0.373 In
0.327 0.905 0.278 In
0.327 0.922 0.049 In
0.373 0.278 0.451 In
0.373 0.595 0.922 In
0.405 0.078 0.627 In
0.405 0.827 0.778 In
0.422 0.095 0.873 In
0.422 0.827 0.549 In
0.451 0.373 0.278 In
0.451 0.578 0.173 In
0.549 0.422 0.827 In
0.549 0.627 0.722 In
0.578 0.173 0.451 In
0.578 0.905 0.127 In
0.595 0.173 0.222 In
0.595 0.922 0.373 In
0.627 0.405 0.078 In
0.627 0.722 0.549 In
0.673 0.078 0.951 In
0.673 0.095 0.722 In
0.722 0.549 0.627 In
0.722 0.673 0.095 In
0.778 0.405 0.827 In
0.778 0.873 0.951 In
0.827 0.549 0.422 In
0.827 0.778 0.405 In
0.873 0.422 0.095 In
0.873 0.951 0.778 In
0.905 0.127 0.578 In
0.905 0.278 0.327 In
0.922 0.049 0.327 In
0.922 0.373 0.595 In
0.951 0.673 0.078 In
0.951 0.778 0.873 In
0.125 0.250 0.375 Sn
0.125 0.375 0.750 Sn
0.250 0.375 0.125 Sn
0.250 0.875 0.625 Sn
0.375 0.125 0.250 Sn
0.375 0.750 0.125 Sn
0.625 0.250 0.875 Sn
0.625 0.875 0.750 Sn
0.750 0.125 0.375 Sn
0.750 0.625 0.875 Sn
0.875 0.625 0.250 Sn
0.875 0.750 0.625 Sn
0.000 0.000 0.000 Ge
0.000 0.000 0.500 Ge
0.000 0.500 0.000 Ge
0.000 0.500 0.500 Ge
0.125 0.750 0.875 Ge
0.125 0.875 0.250 Ge
0.250 0.125 0.875 Ge
0.250 0.625 0.375 Ge
0.375 0.250 0.625 Ge
0.375 0.625 0.750 Ge
0.500 0.000 0.000 Ge
0.500 0.000 0.500 Ge
0.500 0.500 0.000 Ge
0.500 0.500 0.500 Ge
0.625 0.375 0.250 Ge
0.625 0.750 0.375 Ge
0.750 0.375 0.625 Ge
0.750 0.875 0.125 Ge
0.875 0.125 0.750 Ge
0.875 0.250 0.125 Ge
```

Results
**Energy relative to the elements**: 15.9 kJ per mole of atoms

---

Entry 2:
A plane-wave DFT calculation with PBE was carried out for Fe2ReTe after structural relaxation.

```
Fe2ReTe
1.0
3.811 0.000 0.000
0.000 3.811 0.000
0.000 0.000 8.149
Fe Re Te
4 2 2
Direct
0.000 0.000 0.000 Fe
0.000 0.500 0.250 Fe
0.500 0.000 0.750 Fe
0.500 0.500 0.500 Fe
0.000 0.500 0.750 Re
0.500 0.000 0.250 Re
0.000 0.000 0.500 Te
0.500 0.500 0.000 Te
```

Results
**Formation energy (no corrections)**: 0.539 eV per atom

---

Entry 3:
A plane-wave DFT calculation with PBE was carried out for AgHgI2 after structural relaxation.

```
AgHgI2
1.0
4.770 0.000 0.000
-0.029 7.315 0.000
-0.025 -3.145 9.249
Ag Hg I
2 2 4
Direct
0.003 0.078 0.370 Ag
0.997 0.922 0.630 Ag
0.496 0.533 0.872 Hg
0.504 0.467 0.128 Hg
0.003 0.670 0.333 I
0.498 0.866 0.771 I
0.502 0.134 0.229 I
0.997 0.330 0.667 I
```

Results
**Formation energy (no corrections)**: -0.226 eV per atom
**Polymorph energy (0 for the lowest one)**: 0.039 eV per formula unit

---

Entry 4:
A plane-wave DFT calculation with PBE was carried out for K3Pr3NbO8 after structural relaxation.

```
K3Pr3NbO8
1.0
3.539 2.043 6.382
-3.539 2.043 6.382
0.000 -4.086 6.382
K Pr Nb O
3 3 1 8
Direct
0.000 0.500 0.500 K
0.500 0.000 0.500 K
0.500 0.500 0.000 K
0.000 0.000 0.500 Pr
0.000 0.500 0.000 Pr
0.500 0.000 0.000 Pr
0.500 0.500 0.500 Nb
0.235 0.235 0.235 O
0.269 0.703 0.703 O
0.297 0.297 0.731 O
0.297 0.731 0.297 O
0.703 0.269 0.703 O
0.703 0.703 0.269 O
0.731 0.297 0.297 O
0.765 0.765 0.765 O
```

Results
**Formation energy (no corrections)**: -2.536 eV per atom

---

Entry 5:
A plane-wave DFT calculation with PBE was carried out for InPPt2 after structural relaxation.

```
InPPt2
1.0
3.415 0.000 0.000
0.000 3.484 0.000
0.000 0.000 5.861
In P Pt
1 1 2
Direct
0.000 0.000 0.000 In
0.500 0.500 0.370 P
0.000 0.000 0.471 Pt
0.500 0.500 0.772 Pt
```

Results
**Energy relative to the elements**: -30.9 kJ per mole of atoms
**Polymorph energy (0 for the lowest one)**: 0.108 eV per formula unit

---

Entry 6:
A plane-wave DFT calculation with PBE was carried out for MgCo2Te after structural relaxation.

```
MgCo2Te
1.0
4.160 0.000 0.000
0.000 4.160 0.000
0.000 0.000 3.401
Mg Co Te
1 2 1
Direct
0.000 0.000 0.000 Mg
0.000 0.500 0.500 Co
0.500 0.000 0.500 Co
0.500 0.500 0.000 Te
```

Results
**Formation energy (no corrections)**: 0.108 eV per atom
**Polymorph energy (0 for the lowest one)**: 0.135 eV per formula unit

---

Entry 7:
A plane-wave DFT calculation with PBE was carried out for Rb3TbAs2O8 after structural relaxation.

```
Rb3TbAs2O8
1.0
6.010 0.000 0.000
-3.005 5.205 0.000
0.000 0.000 8.171
Rb Tb As O
3 1 2 8
Direct
0.000 0.000 0.000 Rb
0.333 0.667 0.723 Rb
0.667 0.333 0.277 Rb
0.000 0.000 0.500 Tb
0.333 0.667 0.262 As
0.667 0.333 0.738 As
0.177 0.355 0.338 O
0.177 0.823 0.338 O
0.333 0.667 0.056 O
0.355 0.177 0.662 O
0.645 0.823 0.338 O
0.667 0.333 0.944 O
0.823 0.177 0.662 O
0.823 0.645 0.662 O
```

Results
**Formation energy (no corrections)**: -2.002 eV per atom

---

Entry 8:
A plane-wave DFT calculation with PBE was carried out for Zr3Pa2Si4 after structural relaxation.

```
Zr3Pa2Si4
1.0
7.316 0.000 0.000
0.000 7.299 0.000
-2.322 0.000 6.724
Zr Pa Si
6 4 8
Direct
0.000 0.000 0.000 Zr
0.000 0.500 0.500 Zr
0.252 0.177 0.754 Zr
0.252 0.323 0.254 Zr
0.748 0.677 0.746 Zr
0.748 0.823 0.246 Zr
0.309 0.672 0.931 Pa
0.309 0.828 0.431 Pa
0.691 0.172 0.569 Pa
0.691 0.328 0.069 Pa
0.007 0.624 0.127 Si
0.007 0.876 0.627 Si
0.419 0.035 0.139 Si
0.419 0.465 0.639 Si
0.581 0.535 0.361 Si
0.581 0.965 0.861 Si
0.993 0.124 0.373 Si
0.993 0.376 0.873 Si
```

Results
**Formation energy (no corrections)**: -0.782 eV per atom

---

Entry 9:
A plane-wave DFT calculation with PBE was carried out for LaGe2W after structural relaxation.

```
LaGe2W
1.0
5.085 0.000 0.000
0.000 5.085 0.000
0.000 0.000 16.627
La Ge W
4 8 4
Direct
0.000 0.000 0.000 La
0.000 0.500 0.250 La
0.500 0.000 0.750 La
0.500 0.500 0.500 La
0.019 0.250 0.625 Ge
0.250 0.519 0.875 Ge
0.250 0.981 0.375 Ge
0.481 0.250 0.125 Ge
0.519 0.750 0.125 Ge
0.750 0.019 0.375 Ge
0.750 0.481 0.875 Ge
0.981 0.750 0.625 Ge
0.000 0.000 0.500 W
0.000 0.500 0.750 W
0.500 0.000 0.250 W
0.500 0.500 0.000 W
```

Results
**Energy relative to the elements**: 13.3 kJ per mole of atoms
**Polymorph energy (0 for the lowest one)**: 0.132 eV per formula unit

---

Entry 10:
A plane-wave DFT calculation with PBE was carried out for ScInP2 after structural relaxation.

```
ScInP2
1.0
3.818 0.000 0.000
0.000 3.818 0.000
0.000 0.000 5.546
Sc In P
1 1 2
Direct
0.000 0.000 0.000 Sc
0.500 0.500 0.500 In
0.000 0.000 0.500 P
0.500 0.500 0.000 P
```

Results
**Energy relative to the elements**: -61.1 kJ per mole of atoms

---

Entry 11:
A plane-wave DFT calculation with PBE was carried out for Na6AlTl2 after structural relaxation.

```
Na6AlTl2
1.0
2.779 1.604 10.205
-2.779 1.604 10.205
0.000 -3.209 10.205
Na Al Tl
6 1 2
Direct
0.082 0.082 0.082 Na
0.196 0.196 0.196 Na
0.307 0.307 0.307 Na
0.693 0.693 0.693 Na
0.804 0.804 0.804 Na
0.918 0.918 0.918 Na
0.500 0.500 0.500 Al
0.411 0.411 0.411 Tl
0.589 0.589 0.589 Tl
```

Results
**Energy relative to the elements**: -1.6 kJ per mole of atoms

---

Entry 12:
A plane-wave DFT calculation with PBE was carried out for USn2Sb after structural relaxation.

```
USn2Sb
1.0
4.503 0.000 0.000
0.000 4.503 0.000
0.000 0.000 4.928
U Sn Sb
1 2 1
Direct
0.000 0.000 0.000 U
0.000 0.500 0.500 Sn
0.500 0.000 0.500 Sn
0.500 0.500 0.000 Sb
```

Results
**Formation energy (no corrections)**: -0.145 eV per atom
**Polymorph energy (0 for the lowest one)**: 0.000 eV per formula unit

---

Entry 13:
A plane-wave DFT calculation with PBE was carried out for NbZnAsBr2 after structural relaxation.

```
NbZnAsBr2
1.0
5.218 0.000 0.000
0.000 5.218 0.000
0.000 0.000 5.090
Nb Zn As Br
1 1 1 2
Direct
0.000 0.000 0.000 Nb
0.500 0.500 0.500 Zn
0.000 0.000 0.500 As
0.000 0.500 0.000 Br
0.500 0.000 0.000 Br
```

Results
**Formation energy (no corrections)**: 0.032 eV per atom
**Polymorph energy (0 for the lowest one)**: 0.000 eV per formula unit

---

Entry 14:
A plane-wave DFT calculation with PBE was carried out for Nd2Ho2Th after structural relaxation.

```
Nd2Ho2Th
1.0
3.606 0.000 0.000
-1.803 3.123 0.000
0.000 0.000 43.746
Nd Ho Th
6 6 3
Direct
0.000 0.000 0.201 Nd
0.000 0.000 0.799 Nd
0.333 0.667 0.466 Nd
0.333 0.667 0.868 Nd
0.667 0.333 0.132 Nd
0.667 0.333 0.534 Nd
0.000 0.000 0.397 Ho
0.000 0.000 0.603 Ho
0.333 0.667 0.064 Ho
0.333 0.667 0.269 Ho
0.667 0.333 0.731 Ho
0.667 0.333 0.936 Ho
0.000 0.000 0.000 Th
0.333 0.667 0.667 Th
0.667 0.333 0.333 Th
```

Results
**Energy relative to the elements**: 1.4 kJ per mole of atoms
**Polymorph energy (0 for the lowest one)**: 0.000 eV per formula unit

---

Entry 15:
A plane-wave DFT calculation with PBE was carried out for Al3Ni4 after structural relaxation.

```
Al3Ni4
1.0
4.869 0.000 0.000
-2.434 4.216 0.000
0.000 0.000 4.394
Al Ni
3 4
Direct
0.000 0.500 0.000 Al
0.500 0.000 0.000 Al
0.500 0.500 0.000 Al
0.000 0.000 0.254 Ni
0.000 0.000 0.746 Ni
0.333 0.667 0.500 Ni
0.667 0.333 0.500 Ni
```

Results
**Energy relative to the elements**: -6.4 kJ per mole of atoms
**Polymorph energy (0 for the lowest one)**: 2.406 eV per formula unit

---

Entry 16:
A plane-wave DFT calculation with PBE was carried out for Ge2PF after structural relaxation.

```
Ge2PF
1.0
6.007 0.000 0.000
0.000 6.007 0.000
0.000 0.000 9.884
Ge P F
8 4 4
Direct
0.238 0.250 0.125 Ge
0.250 0.738 0.375 Ge
0.250 0.762 0.875 Ge
0.262 0.250 0.625 Ge
0.738 0.750 0.625 Ge
0.750 0.238 0.875 Ge
0.750 0.262 0.375 Ge
0.762 0.750 0.125 Ge
0.000 0.000 0.500 P
0.000 0.500 0.750 P
0.500 0.000 0.250 P
0.500 0.500 0.000 P
0.000 0.000 0.000 F
0.000 0.500 0.250 F
0.500 0.000 0.750 F
0.500 0.500 0.500 F
```

Results
**Formation energy (no corrections)**: -0.318 eV per atom
**Polymorph energy (0 for the lowest one)**: 0.249 eV per formula unit

---

Entry 17:
A plane-wave DFT calculation with PBE was carried out for Sc2AsN after structural relaxation.

```
Sc2AsN
1.0
6.235 0.000 0.000
0.000 6.235 0.000
0.000 0.000 7.314
Sc As N
8 4 4
Direct
0.171 0.750 0.125 Sc
0.250 0.171 0.875 Sc
0.250 0.329 0.375 Sc
0.329 0.750 0.625 Sc
0.671 0.250 0.625 Sc
0.750 0.671 0.375 Sc
0.750 0.829 0.875 Sc
0.829 0.250 0.125 Sc
0.000 0.000 0.500 As
0.000 0.500 0.750 As
0.500 0.000 0.250 As
0.500 0.500 0.000 As
0.000 0.000 0.000 N
0.000 0.500 0.250 N
0.500 0.000 0.750 N
0.500 0.500 0.500 N
```

Results
**Formation energy (no corrections)**: -1.327 eV per atom
**Polymorph energy (0 for the lowest one)**: 0.000 eV per formula unit

---

Entry 18:
A plane-wave DFT calculation with PBE was carried out for Si2Ru2Cl after structural relaxation.

```
Si2Ru2Cl
1.0
3.507 0.000 0.000
0.000 3.507 0.000
0.000 0.000 13.261
Si Ru Cl
4 4 2
Direct
0.000 0.500 0.250 Si
0.000 0.500 0.750 Si
0.500 0.000 0.250 Si
0.500 0.000 0.750 Si
0.000 0.000 0.131 Ru
0.000 0.000 0.869 Ru
0.500 0.500 0.369 Ru
0.500 0.500 0.631 Ru
0.000 0.000 0.500 Cl
0.500 0.500 0.000 Cl
```

Results
**Formation energy (no corrections)**: -0.166 eV per atom
**Polymorph energy (0 for the lowest one)**: 0.096 eV per formula unit

---

Entry 19:
A plane-wave DFT calculation with PBE was carried out for NpAlCoH6 after structural relaxation.

```
NpAlCoH6
1.0
4.262 0.000 0.000
-2.131 3.691 0.000
0.000 0.000 4.405
Np Al Co H
1 1 1 6
Direct
0.000 0.000 0.000 Np
0.333 0.667 0.500 Al
0.667 0.333 0.500 Co
0.512 0.025 0.222 H
0.512 0.025 0.778 H
0.512 0.488 0.222 H
0.512 0.488 0.778 H
0.975 0.488 0.222 H
0.975 0.488 0.778 H
```

Results
**Electronic total energy**: -5.010 eV/atom

---

Entry 20:
A plane-wave DFT calculation with PBE was carried out for TiCdIO6 after structural relaxation.

```
TiCdIO6
1.0
5.283 0.000 0.000
-2.641 4.575 0.000
0.000 0.000 9.803
Ti Cd I O
2 2 2 12
Direct
0.333 0.667 0.250 Ti
0.667 0.333 0.750 Ti
0.000 0.000 0.000 Cd
0.000 0.000 0.500 Cd
0.333 0.667 0.750 I
0.667 0.333 0.250 I
0.002 0.372 0.139 O
0.002 0.630 0.361 O
0.370 0.372 0.361 O
0.370 0.998 0.139 O
0.372 0.002 0.639 O
0.372 0.370 0.861 O
0.628 0.630 0.139 O
0.628 0.998 0.361 O
0.630 0.002 0.861 O
0.630 0.628 0.639 O
0.998 0.370 0.639 O
0.998 0.628 0.861 O
```

Results
**Formation energy (no corrections)**: -1.311 eV per atom